No. 1
# RhWSe2

RhWSe2 after structural relaxation (PBE, the Alexandria database).

Cell lengths 3.0985, 3.0987, 9.7598 Å; angles 81.87, 82.06, 60.01 degrees
Positions (direct):
Rh 0.0000 0.0000 0.0000
W 0.2720 0.2676 0.2165
Se 0.3871 0.3912 0.8102
Se 0.8864 0.8782 0.4008

total energy: -6.9231 eV per atom
excess energy over the best structure of this formula in the dataset: 0.1135 eV per atom
uncorrected formation energy: -0.10 eV per atom
space-group type: P1, No. 1

---

No. 2
# RhWSe2

RhWSe2 after structural relaxation (PBE, the Alexandria database).

Cell lengths 3.0426, 4.1564, 5.3814 Å; angles 90.00, 90.00, 90.00 degrees
Positions (direct):
Rh 0.0000 0.0000 0.0000
W 0.5000 0.0000 0.5000
Se 0.0000 0.5000 0.5000
Se 0.5000 0.5000 0.0000

total energy: -6.2448 eV per atom
excess energy over the best structure of this formula in the dataset: 0.7918 eV per atom
uncorrected formation energy: 0.57 eV per atom
space-group type: Pmmm, No. 47